[1]
{"formula": "NpZn2Au2", "functional": "PBE", "state": "optimized geometry", "final_energy_ev_per_cell": -45.09, "polymorph_energy_mev_per_atom": 46, "formation_enthalpy_0k_ev_per_atom": -0.10, "lattice_angstrom": [[2.840, 0.000, 0.000], [0.000, 8.102, 0.000], [0.000, 0.000, 8.102]], "species": ["Zn", "Zn", "Zn", "Zn", "Au", "Au", "Au", "Au", "Np", "Np"], "frac_coords": [[0.500, 0.162, 0.662], [0.500, 0.662, 0.838], [0.500, 0.338, 0.162], [0.500, 0.838, 0.338], [0.000, 0.634, 0.134], [0.000, 0.866, 0.634], [0.000, 0.366, 0.866], [0.000, 0.134, 0.366], [0.000, 0.500, 0.500], [0.000, 0.000, 0.000]]}

[2]
{"formula": "VCoAu", "functional": "PBE", "state": "optimized geometry", "final_energy_ev_per_cell": -17.71, "formation_enthalpy_0k_ev_per_atom": 0.60, "lattice_angstrom": [[-2.504, 0.377, 0.727], [0.403, -1.468, 2.149], [2.886, 6.095, 2.009]], "species": ["Co", "Au", "V"], "frac_coords": [[0.783, 0.783, 0.565], [0.131, 0.131, 0.262], [0.936, 0.936, 0.873]]}

[3]
{"formula": "Pr7Sm5", "functional": "PBE", "state": "optimized geometry", "final_energy_ev_per_cell": -55.24, "polymorph_energy_mev_per_atom": 144, "formation_enthalpy_0k_ev_per_atom": 0.15, "lattice_angstrom": [[-5.471, -2.137, 1.091], [3.191, -2.029, -4.328], [5.323, -7.634, 11.739]], "species": ["Sm", "Sm", "Sm", "Sm", "Sm", "Pr", "Pr", "Pr", "Pr", "Pr", "Pr", "Pr"], "frac_coords": [[0.000, 0.000, 0.000], [0.625, 0.250, 0.799], [0.375, 0.750, 0.201], [0.134, 0.268, 0.439], [0.866, 0.732, 0.561], [0.679, 0.358, 0.084], [0.500, 0.000, 0.500], [0.244, 0.489, 0.671], [0.037, 0.074, 0.214], [0.756, 0.511, 0.329], [0.321, 0.642, 0.916], [0.963, 0.926, 0.786]]}

[4]
{"formula": "Pm3Y4Tm8", "functional": "PBE", "state": "optimized geometry", "final_energy_ev_per_cell": -69.93, "formation_enthalpy_0k_ev_per_atom": 0.40, "lattice_angstrom": [[-0.079, -0.790, -6.664], [-8.469, -0.843, 3.572], [-0.308, 8.929, 2.317]], "species": ["Pm", "Pm", "Pm", "Tm", "Tm", "Tm", "Tm", "Tm", "Tm", "Tm", "Tm", "Y", "Y", "Y", "Y"], "frac_coords": [[0.500, 0.000, 0.500], [0.500, 0.500, 0.500], [0.500, 0.500, 0.000], [0.990, 0.733, 0.733], [0.000, 0.639, 0.361], [0.000, 0.361, 0.639], [0.010, 0.267, 0.267], [0.466, 0.731, 0.731], [0.534, 0.269, 0.269], [0.500, 0.254, 0.746], [0.500, 0.746, 0.254], [0.000, 0.000, 0.000], [0.000, 0.500, 0.000], [0.000, 0.000, 0.500], [0.500, 0.000, 0.000]]}

[5]
{"formula": "KNiPt", "functional": "PBE", "state": "optimized geometry", "final_energy_ev_per_cell": -11.24, "polymorph_energy_mev_per_atom": 471, "formation_enthalpy_0k_ev_per_atom": 0.56, "lattice_angstrom": [[2.881, 0.000, 0.000], [-1.441, 2.495, 0.000], [0.000, 0.000, 7.594]], "species": ["Ni", "Pt", "K"], "frac_coords": [[0.667, 0.333, 0.368], [0.333, 0.667, 0.633], [0.000, 0.000, 0.000]]}

[6]
{"formula": "BaSrIr", "functional": "PBE", "state": "optimized geometry", "final_energy_ev_per_cell": -12.54, "polymorph_energy_mev_per_atom": 160, "formation_enthalpy_0k_ev_per_atom": -0.02, "lattice_angstrom": [[-1.590, -7.913, 0.170], [1.188, -7.625, -2.373], [2.462, -1.341, 2.532]], "species": ["Ir", "Ba", "Sr"], "frac_coords": [[0.330, 0.330, 0.670], [0.949, 0.949, 0.051], [0.721, 0.721, 0.279]]}

[7]
{"formula": "YTa2As2", "functional": "PBE", "state": "optimized geometry", "final_energy_ev_per_cell": -83.02, "polymorph_energy_mev_per_atom": 171, "formation_enthalpy_0k_ev_per_atom": -0.41, "lattice_angstrom": [[-1.755, 3.431, 6.424], [2.701, -5.830, 3.851], [3.047, 1.450, 0.058]], "species": ["Ta", "Ta", "Ta", "Ta", "As", "As", "As", "As", "Y", "Y"], "frac_coords": [[0.860, 0.360, 0.500], [0.640, 0.860, 0.500], [0.140, 0.640, 0.500], [0.360, 0.140, 0.500], [0.855, 0.645, 0.000], [0.645, 0.145, 0.000], [0.145, 0.355, 0.000], [0.355, 0.855, 0.000], [0.000, 0.000, 0.000], [0.500, 0.500, 0.000]]}

[8]
{"formula": "Pr15Sm4Th", "functional": "PBE", "state": "optimized geometry", "final_energy_ev_per_cell": -97.47, "formation_enthalpy_0k_ev_per_atom": 0.03, "lattice_angstrom": [[5.230, 0.000, 0.000], [0.000, 5.230, 0.000], [0.000, 0.000, 26.093]], "species": ["Pr", "Pr", "Pr", "Pr", "Pr", "Pr", "Pr", "Pr", "Pr", "Pr", "Pr", "Pr", "Pr", "Pr", "Pr", "Sm", "Sm", "Sm", "Sm", "Th"], "frac_coords": [[0.500, 0.500, 0.400], [0.500, 0.500, 0.799], [0.500, 0.000, 0.098], [0.500, 0.000, 0.700], [0.500, 0.500, 0.201], [0.000, 0.500, 0.300], [0.500, 0.000, 0.902], [0.000, 0.500, 0.902], [0.000, 0.500, 0.500], [0.500, 0.500, 0.600], [0.000, 0.500, 0.700], [0.500, 0.000, 0.500], [0.000, 0.500, 0.098], [0.500, 0.000, 0.300], [0.500, 0.500, 0.000], [0.000, 0.000, 0.800], [0.000, 0.000, 0.600], [0.000, 0.000, 0.400], [0.000, 0.000, 0.200], [0.000, 0.000, 0.000]]}

[9]
{"formula": "TiHg2Pd8", "functional": "PBE", "state": "optimized geometry", "final_energy_ev_per_cell": -51.49, "formation_enthalpy_0k_ev_per_atom": -0.13, "lattice_angstrom": [[4.255, 0.238, -0.157], [-0.444, 6.462, -2.263], [0.236, 0.334, 6.849]], "species": ["Pd", "Pd", "Pd", "Pd", "Pd", "Pd", "Pd", "Pd", "Hg", "Hg", "Ti"], "frac_coords": [[0.000, 0.040, 0.293], [0.500, 0.321, 0.321], [0.500, 0.774, 0.226], [0.000, 0.293, 0.040], [0.500, 0.679, 0.679], [0.000, 0.960, 0.707], [0.500, 0.226, 0.774], [0.000, 0.707, 0.960], [0.000, 0.371, 0.629], [0.000, 0.629, 0.371], [0.500, 0.000, 0.000]]}

[10]
{"formula": "YMn2Hg", "functional": "PBE", "state": "optimized geometry", "final_energy_ev_per_cell": -43.07, "formation_enthalpy_0k_ev_per_atom": 0.89, "lattice_angstrom": [[4.063, 0.000, 0.000], [0.000, 4.063, 0.000], [2.032, 2.032, 9.648]], "species": ["Mn", "Mn", "Mn", "Mn", "Hg", "Hg", "Y", "Y"], "frac_coords": [[0.228, 0.625, 0.250], [0.375, 0.478, 0.750], [0.875, 0.772, 0.750], [0.522, 0.125, 0.250], [0.750, 0.250, 0.500], [0.000, 0.000, 0.000], [0.250, 0.750, 0.500], [0.500, 0.500, 0.000]]}

[11]
{"formula": "K6TaSb4", "functional": "PBE", "state": "optimized geometry", "final_energy_ev_per_cell": -77.83, "lattice_angstrom": [[-0.651, -8.648, 0.247], [9.538, -0.878, -5.581], [0.071, 0.311, 11.081]], "species": ["Sb", "Sb", "Sb", "Sb", "Sb", "Sb", "Sb", "Sb", "K", "K", "K", "K", "K", "K", "K", "K", "K", "K", "K", "K", "Ta", "Ta"], "frac_coords": [[0.941, 0.667, 0.333], [0.344, 0.801, 0.199], [0.344, 0.398, 0.199], [0.441, 0.333, 0.667], [0.844, 0.602, 0.801], [0.844, 0.199, 0.801], [0.344, 0.801, 0.602], [0.844, 0.199, 0.398], [0.953, 0.289, 0.145], [0.637, 0.529, 0.058], [0.453, 0.145, 0.855], [0.637, 0.942, 0.471], [0.953, 0.855, 0.711], [0.953, 0.855, 0.145], [0.137, 0.471, 0.942], [0.453, 0.711, 0.855], [0.453, 0.145, 0.289], [0.637, 0.529, 0.471], [0.137, 0.058, 0.529], [0.137, 0.471, 0.529], [0.250, 0.667, 0.333], [0.750, 0.333, 0.667]]}

[12]
{"formula": "Li2CaRh2", "functional": "PBE", "state": "optimized geometry", "final_energy_ev_per_cell": -41.72, "polymorph_energy_mev_per_atom": 0, "formation_enthalpy_0k_ev_per_atom": -0.07, "lattice_angstrom": [[6.931, 0.000, 0.000], [0.000, 6.931, 0.000], [0.000, 0.000, 3.210]], "species": ["Rh", "Rh", "Rh", "Rh", "Ca", "Ca", "Li", "Li", "Li", "Li"], "frac_coords": [[0.834, 0.334, 0.500], [0.166, 0.666, 0.500], [0.666, 0.834, 0.500], [0.334, 0.166, 0.500], [0.500, 0.500, 0.000], [0.000, 0.000, 0.000], [0.622, 0.122, 0.000], [0.122, 0.378, 0.000], [0.878, 0.622, 0.000], [0.378, 0.878, 0.000]]}

Repeat the first record exactly.
{"formula": "NpZn2Au2", "functional": "PBE", "state": "optimized geometry", "final_energy_ev_per_cell": -45.09, "polymorph_energy_mev_per_atom": 46, "formation_enthalpy_0k_ev_per_atom": -0.10, "lattice_angstrom": [[2.840, 0.000, 0.000], [0.000, 8.102, 0.000], [0.000, 0.000, 8.102]], "species": ["Zn", "Zn", "Zn", "Zn", "Au", "Au", "Au", "Au", "Np", "Np"], "frac_coords": [[0.500, 0.162, 0.662], [0.500, 0.662, 0.838], [0.500, 0.338, 0.162], [0.500, 0.838, 0.338], [0.000, 0.634, 0.134], [0.000, 0.866, 0.634], [0.000, 0.366, 0.866], [0.000, 0.134, 0.366], [0.000, 0.500, 0.500], [0.000, 0.000, 0.000]]}

- What is the formula in the sixth record?
  BaSrIr